# Al2CoIr

Crystalline Al2CoIr at its relaxed geometry (PBE, the Alexandria database).

Unit cell a=8.036 b=8.036 c=8.036 alpha=20.23 beta=20.23 gamma=20.23
Last column: magnetic moment on the atom in μB.
Sites, in units of the cell vectors:
Co 0.250 0.250 0.250  0.89
Al 0.996 0.996 0.996  -0.01
Al 0.504 0.504 0.504  -0.01
Ir 0.750 0.750 0.750  0.01

The theoretical density comes out at 9.331 Mg/m³. For the total moment, the calculation gives 0.85 Bohr magnetons per cell. The energy above the most stable polymorph in this dataset comes out at 0.374 eV per atom.